Computed, not measured: an optimized crystal structure of Li4TiMn5O12 at the GGA+U level of DFT.

The calculated total energy is -306.1 eV per cell. The value obtained for the total magnetization is 0.8636 μB per atom.

The structure belongs to space group C2/m (No. 12); the cell edges are 5.3004, 8.8501 and 10.2872 Å and the angles 90.00°, 93.10° and 90.00°. The inequivalent atoms are Li at (0.1272, 0.2353, 0.2525), Ti at (0.0000, 0.0000, 0.5000), Mn at (0.0000, 0.1643, 0.0000), Mn at (0.0000, 0.3351, 0.5000), Mn at (0.0000, 0.5000, 0.0000), O at (0.1368, 0.1708, 0.6099), O at (0.1477, 0.3185, 0.8923), O at (0.1652, 0.0000, 0.9096) and O at (0.1806, 0.5000, 0.5927).